Density functional theory data (PBE) for an optimized crystal structure of BaHo2NpO8.

Calculated values
SG = P2/m, No. 10
Raw formation energy = -3313.5 kJ/mol of formula units
Raw total energy = -8.1689 eV/atom

abc: 5.1271 7.4769 5.1329
angles: 90.00 90.36 90.00
Closest atoms and distances in Å follow each position.
Fractional coordinates of all 12 atoms:
Ba (0.0000, 0.0000, 0.0000)  6 O 2.55-2.66
Ho (0.5000, 0.2659, 0.5000)  6 O 2.27-2.33
Ho (0.5000, 0.7341, 0.5000)  6 O 2.27-2.33
Np (0.0000, 0.5000, 0.0000)  6 O 2.00-2.10
O (0.1887, 0.3048, 0.1898)  1 Np 2.00
O (0.1887, 0.6952, 0.1898)  1 Np 2.00
O (0.2898, 0.5000, 0.7113)  1 Np 2.10, 2 Ho 2.33
O (0.3514, 0.0000, 0.6514)  1 O 2.18, 2 Ho 2.27
O (0.6486, 0.0000, 0.3486)  1 O 2.18, 2 Ho 2.27
O (0.7102, 0.5000, 0.2887)  1 Np 2.10, 2 Ho 2.33
O (0.8113, 0.3048, 0.8102)  1 Np 2.00
O (0.8113, 0.6952, 0.8102)  1 Np 2.00